Record 1
Computed, not measured: a relaxed structure of Sc8TcAg2 at the PBE-GGA level of DFT.

Summary:
Offset from the most stable computed form in eV/f.u.: 1.01
Energy of formation in kJ/mol of formula units: -92
Total magnetization in μB per cell: 0.00
Mass density in g/cm3: 4.74

```
data_Sc8TcAg2
_space_group_name_H-M_alt 'I m m m'
_space_group_IT_number 71
_space_group_name_Hall '-I 2 2'
_cell_length_a 4.867
_cell_length_b 7.879
_cell_length_c 12.297
_cell_angle_alpha 90.00
_cell_angle_beta 90.00
_cell_angle_gamma 90.00
loop_
_atom_site_label
_atom_site_type_symbol
_atom_site_fract_x
_atom_site_fract_y
_atom_site_fract_z
_atom_site_occupancy
Sc1 Sc 0.000 0.000 0.127 1
Sc2 Sc 0.000 0.223 0.353 1
Sc3 Sc 0.000 0.329 0.000 1
Tc1 Tc 0.000 0.500 0.500 1
Ag1 Ag 0.000 0.500 0.209 1
```

=====

Record 2
Computed, not measured: a relaxed structure of Th4InGe3Rh12 at the PBE-GGA level of DFT.

Summary:
Energy of formation in kJ/mol of formula units: -515
Total magnetization in μB per cell: 0.00
Mass density in g/cm3: 10.26

```
data_Th4InGe3Rh12
_space_group_name_H-M_alt 'I m -3 m'
_space_group_IT_number 229
_space_group_name_Hall '-I 4 2 3'
_cell_length_a 9.314
_cell_length_b 9.314
_cell_length_c 9.314
_cell_angle_alpha 90.00
_cell_angle_beta 90.00
_cell_angle_gamma 90.00
loop_
_atom_site_label
_atom_site_type_symbol
_atom_site_fract_x
_atom_site_fract_y
_atom_site_fract_z
_atom_site_occupancy
Th1 Th 0.250 0.250 0.250 1
In1 In 0.000 0.000 0.000 1
Ge1 Ge 0.000 0.000 0.500 1
Rh1 Rh 0.000 0.000 0.261 1
Rh2 Rh 0.000 0.250 0.500 1
```

=====

Record 3
Computed, not measured: a relaxed structure of ZrS3I at the PBE-GGA level of DFT.

Summary:
Offset from the most stable computed form in eV/f.u.: 5.55
Total magnetization in μB per cell: 1.46
Mass density in g/cm3: 4.11
Energy relative to the elements, uncorrected in eV per atom: 0.82

```
data_ZrS3I
_space_group_name_H-M_alt 'P m -3 m'
_space_group_IT_number 221
_space_group_name_Hall '-P 4 2 3'
_cell_length_a 5.028
_cell_length_b 5.028
_cell_length_c 5.028
_cell_angle_alpha 90.00
_cell_angle_beta 90.00
_cell_angle_gamma 90.00
loop_
_atom_site_label
_atom_site_type_symbol
_atom_site_fract_x
_atom_site_fract_y
_atom_site_fract_z
_atom_site_occupancy
Zr1 Zr 0.000 0.000 0.000 1
S1 S 0.000 0.500 0.500 1
I1 I 0.500 0.500 0.500 1
```

=====

Record 4
Computed, not measured: a relaxed structure of Cd2RuAu at the PBE-GGA level of DFT.

Summary:
Offset from the most stable computed form in eV/f.u.: 0.48
Energy of formation in kJ/mol of formula units: 89
Total magnetization in μB per cell: 1.47
Mass density in g/cm3: 11.71

```
data_Cd2RuAu
_space_group_name_H-M_alt 'P 4 m m'
_space_group_IT_number 99
_cell_length_a 2.969
_cell_length_b 2.969
_cell_length_c 8.408
_cell_angle_alpha 90.00
_cell_angle_beta 90.00
_cell_angle_gamma 90.00
loop_
_space_group_symop_operation_xyz
'x,y,z'
'-y,x,z'
'-x,-y,z'
'y,-x,z'
'-x,y,z'
'y,x,z'
'x,-y,z'
'-y,-x,z'
loop_
_atom_site_label
_atom_site_type_symbol
_atom_site_fract_x
_atom_site_fract_y
_atom_site_fract_z
_atom_site_occupancy
Cd1 Cd 0.000 0.000 0.000 1
Cd2 Cd 0.500 0.500 0.288 1
Ru1 Ru 0.000 0.000 0.523 1
Au1 Au 0.500 0.500 0.748 1
```

=====

Record 5
Computed, not measured: a relaxed structure of Hg3SF3 at the PBE-GGA level of DFT.

Summary:
Total magnetization in μB per cell: 0.00
Mass density in g/cm3: 7.95
Energy relative to the elements, uncorrected in eV per atom: -0.92

```
data_Hg3SF3
_space_group_name_H-M_alt 'P 1 21/m 1'
_space_group_IT_number 11
_cell_length_a 7.670
_cell_length_b 4.940
_cell_length_c 8.174
_cell_angle_alpha 90.00
_cell_angle_beta 111.22
_cell_angle_gamma 90.00
loop_
_space_group_symop_operation_xyz
'x,y,z'
'-x,-y,-z'
'-x,y+1/2,-z'
'x,-y+1/2,z'
loop_
_atom_site_label
_atom_site_type_symbol
_atom_site_fract_x
_atom_site_fract_y
_atom_site_fract_z
_atom_site_occupancy
Hg1 Hg 0.092 0.250 0.185 1
Hg2 Hg 0.287 0.250 0.825 1
Hg3 Hg 0.386 0.750 0.491 1
S1 S 0.377 0.250 0.137 1
F1 F 0.086 0.750 0.273 1
F2 F 0.167 0.750 0.782 1
F3 F 0.261 0.250 0.556 1
```

=====

Record 6
Computed, not measured: a relaxed structure of ZnOsCl2 at the PBE-GGA level of DFT.

Summary:
Offset from the most stable computed form in eV/f.u.: 0.63
Total magnetization in μB per cell: 1.68
Mass density in g/cm3: 4.95
Energy relative to the elements, uncorrected in eV per atom: 0.15

```
data_ZnOsCl2
_space_group_name_H-M_alt 'C m m m'
_space_group_IT_number 65
_space_group_name_Hall '-C 2 2'
_cell_length_a 5.096
_cell_length_b 11.872
_cell_length_c 3.624
_cell_angle_alpha 90.00
_cell_angle_beta 90.00
_cell_angle_gamma 90.00
loop_
_atom_site_label
_atom_site_type_symbol
_atom_site_fract_x
_atom_site_fract_y
_atom_site_fract_z
_atom_site_occupancy
Zn1 Zn 0.000 0.000 0.000 1
Os1 Os 0.000 0.500 0.000 1
Cl1 Cl 0.000 0.373 0.500 1
```

=====

Record 7
Computed, not measured: a relaxed structure of PuZnTc at the PBE-GGA level of DFT.

Summary:
Offset from the most stable computed form in eV/f.u.: 0.00
Energy of formation in kJ/mol of formula units: -17
Total magnetization in μB per cell: 20.84
Mass density in g/cm3: 12.18

```
data_PuZnTc
_space_group_name_H-M_alt 'I m m a'
_space_group_IT_number 74
_space_group_name_Hall '-I 2b 2'
_cell_length_a 5.251
_cell_length_b 5.940
_cell_length_c 7.125
_cell_angle_alpha 90.00
_cell_angle_beta 90.00
_cell_angle_gamma 90.00
loop_
_atom_site_label
_atom_site_type_symbol
_atom_site_fract_x
_atom_site_fract_y
_atom_site_fract_z
_atom_site_occupancy
Pu1 Pu 0.000 0.250 0.107 1
Zn1 Zn 0.000 0.000 0.500 1
Tc1 Tc 0.250 0.250 0.750 1
```

=====

Record 8
Computed, not measured: a relaxed structure of K3Bi2Se4 at the PBE-GGA level of DFT.

Summary:
Total magnetization in μB per cell: 0.00
Mass density in g/cm3: 4.27
Energy relative to the elements, uncorrected in eV per atom: -0.69

```
data_K3Bi2Se4
_space_group_name_H-M_alt 'C 1 2/m 1'
_space_group_IT_number 12
_cell_length_a 17.357
_cell_length_b 5.602
_cell_length_c 6.836
_cell_angle_alpha 90.00
_cell_angle_beta 95.68
_cell_angle_gamma 90.00
loop_
_space_group_symop_operation_xyz
'x,y,z'
'-x,-y,-z'
'-x,y,-z'
'x,-y,z'
'x+1/2,y+1/2,z'
'-x+1/2,-y+1/2,-z'
'-x+1/2,y+1/2,-z'
'x+1/2,-y+1/2,z'
loop_
_atom_site_label
_atom_site_type_symbol
_atom_site_fract_x
_atom_site_fract_y
_atom_site_fract_z
_atom_site_occupancy
K1 K 0.000 0.000 0.000 1
K2 K 0.148 0.000 0.608 1
Bi1 Bi 0.153 0.500 0.058 1
Se1 Se 0.053 0.500 0.738 1
Se2 Se 0.194 0.000 0.142 1
```